Material: Li6Cd5Ge
Method: DFT, PBE-GGA
State: relaxed

## Properties
- Space-group type: C2/m

```
12
Lattice="4.4282 -0.0117 -1.2465 -3.3173 6.5395 -3.3218 -0.1498 -0.8765 8.0009" Properties=species:S:1:pos:R:3 pbc="T T T"
Li 2.4324 1.2863 0.1620
Li -0.2766 2.5507 -0.9924
Li 0.2204 5.4823 0.7887
Li 1.2377 3.1007 4.4250
Li -1.4713 4.3650 3.2706
Li 0.7406 0.1690 2.6439
Cd 0.4805 2.8257 1.7163
Cd -0.5550 5.2503 -1.9855
Cd 1.5161 0.4010 5.4181
Cd -2.2493 4.0389 0.4961
Cd -1.2178 1.6241 4.1830
Ge 0.0000 0.0000 0.0000
```


Material: Th2Ir9Pt
Method: DFT, PBE-GGA
State: relaxed

## Properties
- Space-group type: R-3m

```
12
Lattice="-4.5676 -2.6933 0.1487 -1.7779 -1.9547 4.5997 -6.5260 6.0142 3.0920" Properties=species:S:1:pos:R:3 pbc="T T T"
Ir -2.1178 -1.5448 1.5837
Ir -10.7537 2.9110 6.2567
Ir -6.4358 0.6831 3.9202
Ir -5.1365 -1.4585 5.0399
Ir -8.6229 1.8485 5.0976
Ir -7.7350 2.8247 2.8005
Ir -6.3419 3.1936 5.0233
Ir -4.2486 -0.4823 2.7428
Ir -6.5297 -1.8274 2.8171
Th -4.7837 3.0266 2.4959
Th -8.0878 -1.6604 5.3446
Pt 0.0000 0.0000 0.0000
```


Material: PuFe2Mo
Method: DFT, PBE-GGA
State: relaxed

## Properties
- Space-group type: P4/mmm

```
4
Lattice="3.0096 0.0000 0.0000 0.0000 3.0096 0.0000 0.0000 0.0000 6.9109" Properties=species:S:1:pos:R:3 pbc="T T T"
Fe 0.0000 0.0000 5.4385
Fe 0.0000 0.0000 1.4724
Mo 1.5048 1.5048 0.0000
Pu 1.5048 1.5048 3.4554
```


Material: Fe2MoCl
Method: DFT, PBE-GGA
State: relaxed

## Properties
- Energy above the most stable polymorph in this dataset: 0.00 kJ/mol of atoms
- E_form (uncorrected): 0.172 eV/atom
- Space-group type: Pmm2

```
4
Lattice="-2.5017 -1.0513 1.1020 0.6667 -2.6649 -1.0290 3.3181 -1.5151 6.0876" Properties=species:S:1:pos:R:3 pbc="T T T"
Cl 1.7213 -3.6558 4.3122
Fe -0.2629 -1.5659 1.8014
Fe 0.6689 -2.0741 -0.4603
Mo 2.0149 -2.6903 2.0077
```


Material: Nd8Te3CS3
Method: DFT, PBE-GGA
State: relaxed

## Properties
- E_form (uncorrected): -1.409 eV/atom
- Space-group type: R-3m

```
15
Lattice="8.2949 0.0015 0.0009 -4.1462 7.1838 -0.0263 0.0000 -4.7619 7.2974" Properties=species:S:1:pos:R:3 pbc="T T T"
Te -2.0731 3.5919 -0.0131
Te 2.0744 3.5926 -0.0127
Te 0.0000 0.0000 0.0000
Nd 0.0004 -0.1932 5.0695
Nd 2.2573 3.7161 5.0554
Nd 0.0010 2.4041 2.1428
Nd 6.4042 -1.2921 2.2173
Nd 1.8914 -1.2927 2.2166
Nd 4.1478 0.0192 5.1293
Nd -2.2554 3.7154 5.0548
Nd 4.1483 2.6166 2.2025
C 0.0000 -2.3809 3.6487
S 4.1475 -2.3802 3.6491
S 2.0744 1.2117 3.6360
S -2.0731 1.2109 3.6356
```


Material: ZrHg2Br
Method: DFT, PBE-GGA
State: relaxed

## Properties
- Energy above the most stable polymorph in this dataset: 28.35 kJ/mol of atoms
- E_form (uncorrected): -0.092 eV/atom
- Space-group type: Cmmm

```
4
Lattice="5.6860 -0.0045 0.0000 -2.7067 5.0005 0.0000 0.0000 0.0000 3.3297" Properties=species:S:1:pos:R:3 pbc="T T T"
Hg 0.0000 0.0000 0.0000
Hg 1.4897 2.4980 0.0000
Br -1.3533 2.5002 1.6649
Zr 2.8430 -0.0022 1.6649
```


Material: Zr2TeSe
Method: DFT, PBE-GGA
State: relaxed

## Properties
- Energy above the most stable polymorph in this dataset: 38.69 kJ/mol of atoms
- E_form (uncorrected): -0.637 eV/atom
- Space-group type: R3m

```
4
Lattice="-6.5285 6.4981 0.6740 -8.3322 3.5084 1.8888 -6.1786 5.4327 4.1968" Properties=species:S:1:pos:R:3 pbc="T T T"
Zr -5.1376 3.7701 1.6506
Zr -0.0002 0.0002 0.0001
Te -15.5073 11.3797 4.9823
Se -10.9137 8.0087 3.5064
```


Material: Ho4BeSeS2
Method: DFT, PBE-GGA
State: relaxed

## Properties
- E_form (uncorrected): -1.404 eV/atom
- Space-group type: P2/m

```
8
Lattice="3.8621 0.0000 0.0000 0.0000 6.8798 -0.1927 0.0000 2.3713 6.5153" Properties=species:S:1:pos:R:3 pbc="T T T"
Ho 3.8621 2.3225 1.6788
Ho 0.0001 6.9285 4.6439
Ho 1.9311 3.4997 4.7767
Ho 1.9311 5.7514 1.5460
S 1.9311 1.1856 3.2577
S 0.0000 2.3713 6.5153
Se 1.9311 3.4399 -0.0963
Be 0.0000 4.6255 3.1614
```


Number 1: E -1.9791 eV/atom, M_tot 0.00 μB/f.u.. Number 2: E -8.6448 eV/atom, M_tot 0.00 μB/f.u.. Number 3: E -10.3469 eV/atom, M_tot 1.83 μB/f.u.. Number 4: E -7.2285 eV/atom, M_tot 4.88 μB/f.u.. Number 5: E -6.0207 eV/atom, M_tot 1.04 μB/f.u.. Number 6: E -2.7982 eV/atom, M_tot 0.00 μB/f.u.. Number 7: E -6.5671 eV/atom, M_tot 0.25 μB/f.u.. Number 8: E -5.6260 eV/atom, M_tot 0.00 μB/f.u..